DFT (PBE) results for crystalline Dy2YTm4Fe2Te2 at its relaxed geometry.

abc: 3.866 15.660 9.282
angles: 90.00 90.00 90.00
Space group Imm2 (No. 44)
One atom of each set of equivalent atoms:
Dy 0.000 0.151 0.000 (multiplicity 4)
Y 0.000 0.500 0.736 (multiplicity 2)
Tm 0.000 0.187 0.360 (multiplicity 4)
Tm 0.000 0.364 0.152 (multiplicity 4)
Fe 0.000 0.262 0.667 (multiplicity 4)
Te 0.000 0.000 0.502 (multiplicity 2)
Te 0.000 0.500 0.397 (multiplicity 2)

Energy in eV/atom: -5.63
Volume in Å³ per cell: 561.9
Spin magnetization in μB/f.u.: 0.83
Crystal system: orthorhombic